# 1
Below is an optimized crystal structure of RbTeAsSe2, with properties calculated at the PBE level.

Calculated values
Its energy above the most stable polymorph in this dataset is 0 meV per atom. The calculation puts the uncorrected formation energy at 0.024 eV per atom. The mass density comes out at 4.4 g cm⁻³. As for the calculated volume: 168.9 Å³ per cell. As for the final energy: -3.12 eV/atom. The space-group type is P4/mmm.

Structure (POSCAR):
```
RbTeAsSe2
1.0
5.5647 0.0000 0.0000
0.0000 5.5647 0.0000
0.0000 0.0000 5.4548
Rb Te As Se
1 1 1 2
Direct
0.0000 0.0000 0.0000
0.5000 0.5000 0.5000
0.5000 0.5000 0.0000
0.0000 0.5000 0.5000
0.5000 0.0000 0.5000
```


# 2
Below is an optimized crystal structure of RbTeAsSe2, with properties calculated at the PBE level.

Calculated values
Its energy above the most stable polymorph in this dataset is 1295 meV per atom. The calculation puts the uncorrected formation energy at 1.319 eV per atom. The mass density comes out at 2.6 g cm⁻³. As for the calculated volume: 282.2 Å³ per cell. As for the final energy: -1.83 eV/atom. The space-group type is P4/mmm.

Structure (POSCAR):
```
RbTeAsSe2
1.0
6.5164 0.0000 0.0000
0.0000 6.5164 0.0000
0.0000 0.0000 6.6456
Rb Te As Se
1 1 1 2
Direct
0.0000 0.0000 0.0000
0.5000 0.5000 0.5000
0.0000 0.0000 0.5000
0.0000 0.5000 0.0000
0.5000 0.0000 0.0000
```


# 3
Below is an optimized crystal structure of RbThAsSe, with properties calculated at the PBE level.

Calculated values
The calculation puts the uncorrected formation energy at -1.297 eV per atom. The mass density comes out at 5.7 g cm⁻³. As for the calculated volume: 136.7 Å³ per cell. As for the final energy: -5.43 eV/atom. The space-group type is R3m.

Structure (POSCAR):
```
RbThAsSe
1.0
2.1931 1.2662 8.2020
-2.1931 1.2662 8.2020
0.0000 -2.5324 8.2020
Rb Th As Se
1 1 1 1
Direct
0.0000 0.0000 0.0000
0.1746 0.1746 0.1746
0.5674 0.5674 0.5674
0.7724 0.7724 0.7724
```


# 4
Below is an optimized crystal structure of RbTiAs2Se, with properties calculated at the PBE level.

Calculated values
Its energy above the most stable polymorph in this dataset is 2151 meV per atom. The calculation puts the uncorrected formation energy at 1.713 eV per atom. The mass density comes out at 3.6 g cm⁻³. As for the calculated volume: 168.4 Å³ per cell. As for the final energy: -2.62 eV/atom. The space-group type is P4/mmm.

Structure (POSCAR):
```
RbTiAs2Se
1.0
5.4388 0.0000 0.0000
0.0000 5.4388 0.0000
0.0000 0.0000 5.6939
Rb Ti As Se
1 1 2 1
Direct
0.0000 0.0000 0.0000
0.5000 0.5000 0.5000
0.0000 0.5000 0.0000
0.5000 0.0000 0.0000
0.0000 0.0000 0.5000
```


> Among the records above, which one has the lowest final energy?

RbThAsSe


> Which of these has the highest calculated volume?

number 2


Repeat the second record exactly.
Below is an optimized crystal structure of RbTeAsSe2, with properties calculated at the PBE level.

Calculated values
Its energy above the most stable polymorph in this dataset is 1295 meV per atom. The calculation puts the uncorrected formation energy at 1.319 eV per atom. The mass density comes out at 2.6 g cm⁻³. As for the calculated volume: 282.2 Å³ per cell. As for the final energy: -1.83 eV/atom. The space-group type is P4/mmm.

Structure (POSCAR):
```
RbTeAsSe2
1.0
6.5164 0.0000 0.0000
0.0000 6.5164 0.0000
0.0000 0.0000 6.6456
Rb Te As Se
1 1 1 2
Direct
0.0000 0.0000 0.0000
0.5000 0.5000 0.5000
0.0000 0.0000 0.5000
0.0000 0.5000 0.0000
0.5000 0.0000 0.0000
```